1.
# MoIr2Se, optimized geometry, DFT PBE-GGA
# V ... 15.97 Å³/atom
# Raw formation energy ... 0.526 eV per atom
data_MoIr2Se
_cell_length_a 2.805
_cell_length_b 4.832
_cell_length_c 9.427
_cell_angle_alpha 90.00
_cell_angle_beta 90.00
_cell_angle_gamma 90.00
_space_group_name_H-M_alt 'C m m 2'
_space_group_IT_number 35
loop_
_space_group_symop_operation_xyz
'x,y,z'
'-x,-y,z'
'-x,y,z'
'x,-y,z'
'x+1/2,y+1/2,z'
'-x+1/2,-y+1/2,z'
'-x+1/2,y+1/2,z'
'x+1/2,-y+1/2,z'
loop_
_atom_site_label
_atom_site_type_symbol
_atom_site_fract_x
_atom_site_fract_y
_atom_site_fract_z
Mo1 Mo 0.000 0.000 0.000
Ir1 Ir 0.000 0.000 0.512
Ir2 Ir 0.000 0.500 0.762
Se1 Se 0.000 0.500 0.256

***

2.
# Rb2SN, optimized geometry, DFT PBE-GGA
# Relative energy among the computed polymorphs ... 0.213 eV/atom
# V ... 29.77 Å³/atom
# Raw formation energy ... 0.384 eV per atom
data_Rb2SN
_cell_length_a 7.809
_cell_length_b 7.809
_cell_length_c 7.809
_cell_angle_alpha 90.00
_cell_angle_beta 90.00
_cell_angle_gamma 90.00
_space_group_name_H-M_alt 'F m -3 m'
_space_group_IT_number 225
_space_group_name_Hall '-F 4 2 3'
loop_
_atom_site_label
_atom_site_type_symbol
_atom_site_fract_x
_atom_site_fract_y
_atom_site_fract_z
Rb1 Rb 0.250 0.250 0.250
S1 S 0.000 0.000 0.000
N1 N 0.000 0.000 0.500

***

3.
# La4Pr3NdTe8, optimized geometry, DFT PBE-GGA
# V ... 33.39 Å³/atom
# Raw formation energy ... -1.517 eV per atom
data_La4Pr3NdTe8
_cell_length_a 9.1279
_cell_length_b 9.1279
_cell_length_c 22.2139
_cell_angle_alpha 90.00
_cell_angle_beta 90.00
_cell_angle_gamma 120.00
_space_group_name_H-M_alt 'R -3 m'
_space_group_IT_number 166
_space_group_name_Hall '-R 3 2"'
loop_
_atom_site_label
_atom_site_type_symbol
_atom_site_fract_x
_atom_site_fract_y
_atom_site_fract_z
La1 La 0.0000 0.0000 0.0000
La2 La 0.0000 0.5000 0.0000
Pr1 Pr 0.0000 0.5000 0.5000
Nd1 Nd 0.0000 0.0000 0.5000
Te1 Te 0.0000 0.0000 0.2493
Te2 Te 0.0012 0.5006 0.2490

***

4.
# CdOsPb2, optimized geometry, DFT PBE-GGA
# V ... 34.97 Å³/atom
# ΔH_f (0 K) ... 1.9 eV per formula unit
data_CdOsPb2
_cell_length_a 10.105
_cell_length_b 10.105
_cell_length_c 5.480
_cell_angle_alpha 90.00
_cell_angle_beta 90.00
_cell_angle_gamma 90.00
_space_group_name_H-M_alt 'I -4 2 d'
_space_group_IT_number 122
_space_group_name_Hall 'I -4 2bw'
loop_
_atom_site_label
_atom_site_type_symbol
_atom_site_fract_x
_atom_site_fract_y
_atom_site_fract_z
Cd1 Cd 0.000 0.000 0.000
Os1 Os 0.000 0.000 0.500
Pb1 Pb 0.001 0.250 0.625

***

5.
# BeTlP2, optimized geometry, DFT PBE-GGA
# Relative energy among the computed polymorphs ... 0.342 eV/atom
# V ... 18.87 Å³/atom
# ΔH_f (0 K) ... 1.6 eV per formula unit
data_BeTlP2
_cell_length_a 3.248
_cell_length_b 3.248
_cell_length_c 7.155
_cell_angle_alpha 90.00
_cell_angle_beta 90.00
_cell_angle_gamma 90.00
_space_group_name_H-M_alt 'P 4 m m'
_space_group_IT_number 99
loop_
_space_group_symop_operation_xyz
'x,y,z'
'-y,x,z'
'-x,-y,z'
'y,-x,z'
'-x,y,z'
'y,x,z'
'x,-y,z'
'-y,-x,z'
loop_
_atom_site_label
_atom_site_type_symbol
_atom_site_fract_x
_atom_site_fract_y
_atom_site_fract_z
Be1 Be 0.000 0.000 0.000
Tl1 Tl 0.500 0.500 0.722
P1 P 0.000 0.000 0.291
P2 P 0.500 0.500 0.169

***

6.
# InMo4Se, optimized geometry, DFT PBE-GGA
# V ... 17.97 Å³/atom
# Raw formation energy ... 0.518 eV per atom
data_InMo4Se
_cell_length_a 7.555
_cell_length_b 7.555
_cell_length_c 7.555
_cell_angle_alpha 90.00
_cell_angle_beta 90.00
_cell_angle_gamma 90.00
_space_group_name_H-M_alt 'F -4 3 m'
_space_group_IT_number 216
_space_group_name_Hall 'F -4 2 3'
loop_
_atom_site_label
_atom_site_type_symbol
_atom_site_fract_x
_atom_site_fract_y
_atom_site_fract_z
In1 In 0.000 0.000 0.000
Mo1 Mo 0.123 0.123 0.623
Se1 Se 0.250 0.250 0.250

***

7.
# MnPd4, optimized geometry, DFT PBE-GGA
# Relative energy among the computed polymorphs ... 0.263 eV/atom
# V ... 16.49 Å³/atom
# ΔH_f (0 K) ... 0.5 eV per formula unit
data_MnPd4
_cell_length_a 4.394
_cell_length_b 4.719
_cell_length_c 7.953
_cell_angle_alpha 90.00
_cell_angle_beta 90.20
_cell_angle_gamma 90.00
_space_group_name_H-M_alt 'P 1 21/c 1'
_space_group_IT_number 14
loop_
_space_group_symop_operation_xyz
'x,y,z'
'-x,-y,-z'
'-x,y+1/2,-z+1/2'
'x,-y+1/2,z+1/2'
loop_
_atom_site_label
_atom_site_type_symbol
_atom_site_fract_x
_atom_site_fract_y
_atom_site_fract_z
Mn1 Mn 0.000 0.000 0.000
Pd1 Pd 0.001 0.035 0.335
Pd2 Pd 0.500 0.196 0.141

***

8.
# Tb3Pr2DyTe6, optimized geometry, DFT PBE-GGA
# V ... 30.60 Å³/atom
# Raw formation energy ... -1.349 eV per atom
data_Tb3Pr2DyTe6
_cell_length_a 19.308
_cell_length_b 4.388
_cell_length_c 8.912
_cell_angle_alpha 90.00
_cell_angle_beta 103.42
_cell_angle_gamma 90.00
_space_group_name_H-M_alt 'C 1 2/m 1'
_space_group_IT_number 12
loop_
_space_group_symop_operation_xyz
'x,y,z'
'-x,-y,-z'
'-x,y,-z'
'x,-y,z'
'x+1/2,y+1/2,z'
'-x+1/2,-y+1/2,-z'
'-x+1/2,y+1/2,-z'
'x+1/2,-y+1/2,z'
loop_
_atom_site_label
_atom_site_type_symbol
_atom_site_fract_x
_atom_site_fract_y
_atom_site_fract_z
Tb1 Tb 0.000 0.000 0.000
Tb2 Tb 0.172 0.500 0.335
Pr1 Pr 0.170 0.500 0.837
Dy1 Dy 0.000 0.000 0.500
Te1 Te 0.004 0.500 0.253
Te2 Te 0.162 0.000 0.091
Te3 Te 0.163 0.000 0.573

***

9.
# Er4Cu, optimized geometry, DFT PBE-GGA
# Relative energy among the computed polymorphs ... 0.115 eV/atom
# V ... 30.00 Å³/atom
# ΔH_f (0 K) ... 0.7 eV per formula unit
data_Er4Cu
_cell_length_a 5.313
_cell_length_b 5.313
_cell_length_c 5.313
_cell_angle_alpha 90.00
_cell_angle_beta 90.00
_cell_angle_gamma 90.00
_space_group_name_H-M_alt 'P m -3 m'
_space_group_IT_number 221
_space_group_name_Hall '-P 4 2 3'
loop_
_atom_site_label
_atom_site_type_symbol
_atom_site_fract_x
_atom_site_fract_y
_atom_site_fract_z
Er1 Er 0.000 0.000 0.000
Er2 Er 0.000 0.500 0.500
Cu1 Cu 0.500 0.500 0.500

***

10.
# Hf2WI, optimized geometry, DFT PBE-GGA
# Relative energy among the computed polymorphs ... 0.000 eV/atom
# V ... 20.92 Å³/atom
# Raw formation energy ... 0.604 eV per atom
data_Hf2WI
_cell_length_a 6.943
_cell_length_b 6.943
_cell_length_c 6.943
_cell_angle_alpha 90.00
_cell_angle_beta 90.00
_cell_angle_gamma 90.00
_space_group_name_H-M_alt 'F m -3 m'
_space_group_IT_number 225
_space_group_name_Hall '-F 4 2 3'
loop_
_atom_site_label
_atom_site_type_symbol
_atom_site_fract_x
_atom_site_fract_y
_atom_site_fract_z
Hf1 Hf 0.250 0.250 0.250
W1 W 0.000 0.000 0.000
I1 I 0.000 0.000 0.500

***

11.
# CsB3C, optimized geometry, DFT PBE-GGA
# Relative energy among the computed polymorphs ... 0.000 eV/atom
# V ... 12.49 Å³/atom
# ΔH_f (0 K) ... 13.7 eV per formula unit
data_CsB3C
_cell_length_a 3.968
_cell_length_b 3.968
_cell_length_c 3.968
_cell_angle_alpha 90.00
_cell_angle_beta 90.00
_cell_angle_gamma 90.00
_space_group_name_H-M_alt 'P m -3 m'
_space_group_IT_number 221
_space_group_name_Hall '-P 4 2 3'
loop_
_atom_site_label
_atom_site_type_symbol
_atom_site_fract_x
_atom_site_fract_y
_atom_site_fract_z
Cs1 Cs 0.000 0.000 0.000
B1 B 0.000 0.500 0.500
C1 C 0.500 0.500 0.500

***

12.
# MnGeS2, optimized geometry, DFT PBE-GGA
# Relative energy among the computed polymorphs ... 0.000 eV/atom
# V ... 18.34 Å³/atom
# Raw formation energy ... -0.313 eV per atom
data_MnGeS2
_cell_length_a 3.2562
_cell_length_b 3.2562
_cell_length_c 23.9658
_cell_angle_alpha 90.00
_cell_angle_beta 90.00
_cell_angle_gamma 120.00
_space_group_name_H-M_alt 'R -3 m'
_space_group_IT_number 166
_space_group_name_Hall '-R 3 2"'
loop_
_atom_site_label
_atom_site_type_symbol
_atom_site_fract_x
_atom_site_fract_y
_atom_site_fract_z
Mn1 Mn 0.0000 0.0000 0.0000
Ge1 Ge 0.0000 0.0000 0.5000
S1 S 0.0000 0.0000 0.3890

***

Number 7 is which compound?
MnPd4

***

The lowest V belongs to which entry?
CsB3C

***

Please write out number 4 again, unchanged.
# CdOsPb2, optimized geometry, DFT PBE-GGA
# V ... 34.97 Å³/atom
# ΔH_f (0 K) ... 1.9 eV per formula unit
data_CdOsPb2
_cell_length_a 10.105
_cell_length_b 10.105
_cell_length_c 5.480
_cell_angle_alpha 90.00
_cell_angle_beta 90.00
_cell_angle_gamma 90.00
_space_group_name_H-M_alt 'I -4 2 d'
_space_group_IT_number 122
_space_group_name_Hall 'I -4 2bw'
loop_
_atom_site_label
_atom_site_type_symbol
_atom_site_fract_x
_atom_site_fract_y
_atom_site_fract_z
Cd1 Cd 0.000 0.000 0.000
Os1 Os 0.000 0.000 0.500
Pb1 Pb 0.001 0.250 0.625

***

What is the formula in the second record?
Rb2SN